Arrangement P

Density functional theory data (GGA-PBEsol) for an optimized crystal structure of LiPb2W.

The structure in extended XYZ format:
```
4
Lattice="-3.086 -0.140 0.777 1.141 -0.342 4.468 -0.140 5.693 0.472" Properties=species:S:1:pos:R:3 pbc="T T T"
Pb 0.000 0.000 0.000
Li 0.500 2.675 2.470
Pb -1.613 2.776 0.625
W -0.973 -0.241 2.622
```

Arrangement Q

Density functional theory data (GGA-PBEsol) for an optimized crystal structure of LiPb2W.

The structure in extended XYZ format:
```
4
Lattice="-0.470 -0.300 2.965 4.107 -2.801 0.368 2.739 4.899 -0.604" Properties=species:S:1:pos:R:3 pbc="T T T"
W 4.622 3.236 1.061
Li 2.040 1.679 2.029
Pb 0.169 -0.076 0.019
Pb 4.102 0.307 0.682
```

Arrangement R

Density functional theory data (GGA-PBEsol) for an optimized crystal structure of LiPb2W.

The structure in extended XYZ format:
```
4
Lattice="3.516 0.000 0.000 0.000 3.516 0.000 0.000 0.000 6.449" Properties=species:S:1:pos:R:3 pbc="T T T"
Li 1.758 1.758 3.225
W 1.758 1.758 0.000
Pb 0.000 0.000 1.581
Pb 0.000 0.000 4.868
```

Computed stability ranking, most favorable first: arrangement R, arrangement Q, arrangement P

Arrangement P

Density functional theory data (GGA-PBEsol) for an optimized crystal structure of Li2SiPd2.

The structure in extended XYZ format:
```
10
Lattice="4.144 0.000 0.000 0.000 6.082 0.000 0.000 0.000 6.082" Properties=species:S:1:pos:R:3 pbc="T T T"
Li 2.072 0.982 4.023
Li 2.072 5.100 2.059
Li 2.072 2.059 0.982
Pd 0.000 5.149 3.974
Li 2.072 4.023 5.100
Si 0.000 3.041 3.041
Pd 0.000 0.933 2.108
Si 0.000 0.000 0.000
Pd 0.000 2.108 5.149
Pd 0.000 3.974 0.933
```

Arrangement Q

Density functional theory data (GGA-PBEsol) for an optimized crystal structure of Li2SiPd2.

The structure in extended XYZ format:
```
5
Lattice="-3.054 -0.236 -0.362 0.382 -2.678 -1.481 0.881 -1.970 7.001" Properties=species:S:1:pos:R:3 pbc="T T T"
Li -0.037 -3.053 2.299
Li -1.755 -1.831 2.859
Pd -0.367 -2.763 4.902
Pd -1.424 -2.121 0.256
Si 0.000 0.000 0.000
```

Computed stability ranking, most favorable first: arrangement P, arrangement Q

Arrangement P

Density functional theory data (GGA-PBEsol) for an optimized crystal structure of Li2Pt.

The structure in extended XYZ format:
```
6
Lattice="-3.003 2.676 -3.031 -0.745 -4.977 0.207 -0.906 1.701 4.653" Properties=species:S:1:pos:R:3 pbc="T T T"
Pt -0.937 -0.575 -0.706
Li -2.833 0.841 -1.762
Li -3.104 -1.418 0.438
Li -1.550 0.819 1.391
Pt -2.811 -1.726 -2.118
Li -1.821 -1.441 3.591
```

Arrangement Q

Density functional theory data (GGA-PBEsol) for an optimized crystal structure of Li2Pt.

The structure in extended XYZ format:
```
3
Lattice="-1.573 -1.332 -1.806 1.146 -1.360 2.085 -5.440 1.257 3.810" Properties=species:S:1:pos:R:3 pbc="T T T"
Li -3.537 -0.478 3.433
Li -2.330 -0.957 0.656
Pt 0.000 0.000 0.000
```

Arrangement R

Density functional theory data (GGA-PBEsol) for an optimized crystal structure of Li2Pt.

The structure in extended XYZ format:
```
3
Lattice="-2.180 2.058 0.219 -1.760 -1.677 -1.768 0.411 -2.212 4.245" Properties=species:S:1:pos:R:3 pbc="T T T"
Li -2.464 -0.450 0.325
Li -1.066 -1.381 2.372
Pt 0.000 0.000 0.000
```

Computed stability ranking, most favorable first: arrangement R, arrangement P, arrangement Q

Arrangement P

Density functional theory data (GGA-PBEsol) for an optimized crystal structure of Li2Pt.

The structure in extended XYZ format:
```
3
Lattice="2.661 0.000 0.000 0.000 3.921 0.000 -1.330 -1.961 3.872" Properties=species:S:1:pos:R:3 pbc="T T T"
Li 1.330 1.961 2.634
Pt 1.330 1.961 0.000
Li 0.000 0.000 1.238
```

Arrangement Q

Density functional theory data (GGA-PBEsol) for an optimized crystal structure of Li2Pt.

The structure in extended XYZ format:
```
3
Lattice="2.628 0.000 0.000 0.000 4.167 0.000 0.000 -2.084 3.609" Properties=species:S:1:pos:R:3 pbc="T T T"
Li 0.000 0.000 2.406
Pt 1.314 0.000 0.000
Li 0.000 2.084 1.203
```

Computed stability ranking, most favorable first: arrangement Q, arrangement P